First-principles (GGA+U) data for a geometry-optimized MnSnP2O structure, as listed in Alexandria.

Unit cell a=4.895 b=4.895 c=3.648 alpha=90.00 beta=90.00 gamma=90.00
Fractional positions:
Mn1 0.000 0.000 0.000
Sn1 0.500 0.500 0.500
P1 0.000 0.500 0.000
P2 0.500 0.000 0.000
O1 0.000 0.000 0.500

Summary:
total moment: 2.82 μB/f.u.
excess energy over the best structure of this formula in the dataset: 0 meV/atom
space group: P4/mmm, No. 123
DFT total energy: -5.396 eV per atom